# 1
MgCdHg2, optimized geometry, DFT PBE; energy relative to the elements = -0.103 eV/atom; space-group type = P2/m, No. 10
1.0
-2.5373 2.2757 -1.4220
-2.2539 -1.0190 2.3911
0.2180 4.2756 6.4537
Hg Mg Cd
2 1 1
direct
0.0000 0.9801 0.0132
0.0000 0.5199 0.4868
0.5000 0.2500 0.2500
0.5000 0.7500 0.7500

=====

# 2
LiTlReO4, optimized geometry, DFT PBE; formation energy (no corrections) = -1479 meV/atom; space-group type = I-4, No. 82
1.0
-4.2809 -2.4596 3.4515
4.2121 -3.0123 3.0777
0.3362 5.6943 -0.7820
Re O Tl Li
1 4 1 1
direct
0.2500 0.7500 0.5000
0.3901 0.7465 0.2888
0.2535 0.1013 0.7112
0.4577 0.6099 0.7112
0.8987 0.5423 0.2888
0.0000 0.0000 0.0000
0.5000 0.5000 0.0000

=====

# 3
Ce2PmRh2, optimized geometry, DFT PBE; energy relative to the elements = -0.282 eV/atom; ΔE to the lowest computed polymorph = 290 meV per atom; space-group type = Cmmm, No. 65
1.0
4.4537 -0.1989 0.3963
-1.1401 4.3098 0.3963
-0.5554 -0.6891 5.8831
Pm Rh Ce
1 2 2
direct
0.0000 0.0000 0.0000
0.4999 0.4999 0.2452
0.5001 0.5001 0.7548
0.1946 0.8054 0.5000
0.8054 0.1946 0.5000

=====

# 4
GdBe3Os, optimized geometry, DFT PBE; energy relative to the elements = -0.066 eV/atom; space-group type = Pm-3m, No. 221
1.0
-2.5477 3.3329 0.8969
-3.1852 -1.8410 -2.2066
-1.3294 -1.9764 3.5679
Be Os Gd
3 1 1
direct
0.5000 0.0000 0.0000
0.0000 0.5000 0.0000
0.0000 0.0000 0.5000
0.0000 0.0000 0.0000
0.5000 0.5000 0.5000

=====

# 5
Cs2LaI2, optimized geometry, DFT PBE; formation energy (no corrections) = -729 meV/atom; space-group type = P4/mbm, No. 127
1.0
-1.1626 -2.2169 -8.7724
-1.7441 -8.6237 2.4105
-5.7727 1.2902 0.4390
I Cs La
4 4 2
direct
0.1702 0.3298 0.0000
0.8298 0.6702 0.0000
0.6702 0.1702 0.0000
0.3298 0.8298 0.0000
0.3459 0.1541 0.5000
0.6541 0.8459 0.5000
0.8459 0.3459 0.5000
0.1541 0.6541 0.5000
0.0000 0.0000 0.0000
0.5000 0.5000 0.0000

=====

# 6
BaAcGaCu, optimized geometry, DFT PBE; energy relative to the elements = -0.160 eV/atom; ΔE to the lowest computed polymorph = 70 meV per atom; space-group type = F-43m, No. 216
1.0
-2.6571 3.6503 3.2740
-5.0321 -1.2467 2.0562
-0.6042 -1.0603 5.4419
Ac Ba Cu Ga
1 1 1 1
direct
0.5000 0.5000 0.5000
0.0000 0.0000 0.0000
0.2500 0.2500 0.2500
0.7500 0.7500 0.7500

=====

# 7
Ac4BiRu2, optimized geometry, DFT PBE; energy relative to the elements = -0.176 eV/atom; space-group type = Fddd, No. 70
1.0
8.6223 -1.1100 -0.1740
-1.7287 8.5199 0.1734
-3.3187 -3.8239 7.0893
Ac Bi Ru
8 2 4
direct
0.7789 0.0959 0.6817
0.8359 0.6527 0.1816
0.4712 0.6543 0.8184
0.3471 0.1641 0.8182
0.9044 0.2211 0.3185
0.3459 0.5289 0.1818
0.9027 0.5859 0.6816
0.4141 0.0971 0.3183
0.0001 0.0001 0.0000
0.2500 0.7499 0.5000
0.1250 0.3751 0.7502
0.6250 0.8750 0.2500
0.6250 0.3748 0.2498
0.6249 0.3750 0.7499

=====

# 8
PmAlSbO6, optimized geometry, DFT PBE; formation energy (no corrections) = -2288 meV/atom; space-group type = P-31c, No. 163
1.0
5.1816 0.0000 0.0000
-2.5908 4.4874 0.0000
0.0000 0.0000 10.0931
Sb O Al Pm
2 12 2 2
direct
0.6667 0.3333 0.7500
0.3333 0.6667 0.2500
0.6403 0.0116 0.3564
0.0116 0.3713 0.6436
0.3713 0.3597 0.3564
0.9884 0.3597 0.1436
0.6287 0.6403 0.6436
0.3713 0.0116 0.1436
0.3597 0.9884 0.6436
0.6287 0.9884 0.8564
0.6403 0.6287 0.1436
0.3597 0.3713 0.8564
0.9884 0.6287 0.3564
0.0116 0.6403 0.8564
0.3333 0.6667 0.7500
0.6667 0.3333 0.2500
0.0000 0.0000 0.0000
0.0000 0.0000 0.5000